# 1
Material: LaRuBr4
Method: DFT, PBE
State: relaxed

```
6
Lattice="0.816 3.073 5.305 -4.734 3.033 2.576 -2.552 -2.114 5.222" Properties=species:S:1:pos:R:3 pbc="T T T"
Br -3.704 0.432 7.530
Br -2.422 1.494 4.905
Br -4.801 3.019 6.200
Br -2.012 3.039 7.571
Ru 0.000 0.000 0.000
La -4.852 2.994 9.827
```

Results
crystal system = cubic
E = -3.0712 eV per atom
size of the total moment = 2.3 μB/f.u.
formation energy (no corrections) = 0.411 eV per atom


# 2
Material: YAg3Br6
Method: DFT, PBE
State: relaxed

```
20
Lattice="-7.230 -1.079 0.373 -0.216 -1.017 -7.127 2.032 -10.914 1.497" Properties=species:S:1:pos:R:3 pbc="T T T"
Br -3.988 -3.984 -2.160
Y 0.000 0.000 0.000
Ag 1.231 -8.608 -2.299
Ag -3.301 -3.223 0.411
Ag 1.016 -5.457 0.748
Br -1.817 -5.716 -5.152
Br -0.350 -5.327 -1.610
Br 0.704 -8.614 0.419
Br -2.916 -11.167 0.424
Ag -6.644 -4.402 -2.959
Br -1.426 -9.026 -3.097
Ag -3.723 -1.048 -3.377
Br -3.596 -7.294 -0.106
Y -2.707 -6.505 -2.629
Br -2.498 -1.844 -5.682
Br -5.063 -7.684 -3.648
Ag -2.112 -9.787 -5.669
Br -1.031 -1.455 -2.144
Br -6.118 -4.397 -5.677
Br -4.383 -11.555 -3.113
```

Results
crystal system = monoclinic
E = -3.4099 eV per atom
size of the total moment = 0.0 μB/f.u.
formation energy (no corrections) = -0.904 eV per atom


# 3
Material: PaMn8C6
Method: DFT, PBE
State: relaxed

```
30
Lattice="5.863 0.000 0.000 -2.932 5.078 0.000 0.000 0.000 10.981" Properties=species:S:1:pos:R:3 pbc="T T T"
Mn -0.911 1.578 2.927
Mn 1.272 2.203 1.199
Mn 2.021 3.500 2.927
C 3.604 0.000 10.274
Pa 0.000 0.000 5.499
Mn 1.660 2.875 6.689
Pa 0.000 0.000 0.008
Mn 0.911 1.578 8.417
C -1.130 1.957 4.783
Mn 1.822 0.000 2.927
Mn -1.660 2.875 1.199
Mn -1.272 2.203 6.689
C 0.000 0.000 2.764
C 1.130 1.957 10.274
Mn 2.932 1.693 4.484
C 0.000 0.000 8.254
C 0.000 3.385 7.921
Mn 0.000 3.385 4.484
C -1.802 3.121 10.274
C 2.259 0.000 4.783
Mn 2.932 1.693 9.974
Mn -2.021 3.500 8.417
C 2.932 1.693 2.431
C 0.000 3.385 2.431
Mn 4.041 0.000 8.417
C 1.802 3.121 4.783
Mn 2.544 0.000 6.689
C 2.932 1.693 7.921
Mn 3.320 0.000 1.199
Mn 0.000 3.385 9.974
```

Results
crystal system = hexagonal
formation energy = 0.111 eV/atom
E = -9.1022 eV per atom
size of the total moment = 9.3 μB/f.u.


Which formula does entry 1 have?
LaRuBr4


Look up the E of the first one.
-3.0712 eV per atom